## La3HgO (PBE-GGA)

Data for La3HgO after structural relaxation.

Summary:
The calculation puts the total DFT energy (no corrections) at -5.371 eV per atom. As for the space-group type: Imma (74).

a b c (Å): 7.1394 7.1394 7.1394
angles (deg): 119.92 89.98 120.10
Atoms (fractional coordinates):
La 0.2379 0.0000 0.7379
La 0.2379 0.5000 0.2379
La 0.2743 0.0243 0.2500
La 0.7257 0.9757 0.7500
La 0.7621 0.0000 0.2621
La 0.7621 0.5000 0.7621
Hg 0.2493 0.4993 0.7500
Hg 0.7507 0.5007 0.2500
O 0.0000 0.0000 0.0000
O 0.5000 0.0000 0.5000


## BaDy2As2 (PBE-GGA)

Data for BaDy2As2 after structural relaxation.

Summary:
The calculation puts the total DFT energy (no corrections) at -5.055 eV per atom. As for the space-group type: C2/m (12).

a b c (Å): 7.6830 7.6830 4.6951
angles (deg): 106.80 106.80 35.54
Atoms (fractional coordinates):
Ba 0.0000 0.0000 0.0000
Dy 0.2501 0.2501 0.7492
Dy 0.7499 0.7499 0.2508
As 0.3716 0.3716 0.3633
As 0.6284 0.6284 0.6367


## ReSe2Cl12 (PBE-GGA)

Data for ReSe2Cl12 after structural relaxation.

Summary:
The calculation puts the total DFT energy (no corrections) at -3.189 eV per atom. As for the space-group type: Fdd2 (43).

a b c (Å): 12.5127 12.2767 8.6551
angles (deg): 71.04 68.11 40.86
Atoms (fractional coordinates):
Re 0.0000 0.0000 0.0000
Re 0.2500 0.2500 0.2500
Se 0.0642 0.6018 0.8824
Se 0.3676 0.7984 0.1858
Se 0.6018 0.0642 0.4516
Se 0.7984 0.3676 0.6482
Cl 0.0385 0.4721 0.7985
Cl 0.0395 0.9617 0.2665
Cl 0.1210 0.7277 0.0347
Cl 0.1335 0.2153 0.5223
Cl 0.1890 0.6273 0.6360
Cl 0.2153 0.1335 0.1290
Cl 0.2700 0.8874 0.8839
Cl 0.2912 0.3661 0.3626
Cl 0.3602 0.7951 0.4448
Cl 0.3661 0.2912 0.9800
Cl 0.4515 0.5592 0.2115
Cl 0.4721 0.0385 0.6908
Cl 0.5177 0.9835 0.2883
Cl 0.5592 0.4515 0.7779
Cl 0.6140 0.7023 0.0610
Cl 0.6273 0.1890 0.5477
Cl 0.7023 0.6140 0.6227
Cl 0.7277 0.1210 0.1166
Cl 0.7951 0.3602 0.3999
Cl 0.8052 0.8501 0.8898
Cl 0.8501 0.8052 0.4549
Cl 0.8874 0.2700 0.9588
Cl 0.9617 0.0395 0.7323
Cl 0.9835 0.5177 0.2105


## TbZn8Ni4 (PBE-GGA)

Data for TbZn8Ni4 after structural relaxation.

Summary:
As for the formation energy from the elements: -0.31 eV per atom. As for the space-group type: I4/mmm (139).

a b c (Å): 6.5529 6.5529 6.5529
angles (deg): 98.53 98.53 134.69
Atoms (fractional coordinates):
Tb 0.0000 0.0000 0.0000
Zn 0.0000 0.3420 0.3420
Zn 0.0000 0.6580 0.6580
Zn 0.2773 0.5000 0.7773
Zn 0.3420 0.0000 0.3420
Zn 0.5000 0.2773 0.7773
Zn 0.5000 0.7227 0.2227
Zn 0.6580 0.0000 0.6580
Zn 0.7227 0.5000 0.2227
Ni 0.0000 0.0000 0.5000
Ni 0.0000 0.5000 0.0000
Ni 0.5000 0.0000 0.0000
Ni 0.5000 0.5000 0.5000


## HfCoGeIr (PBE-GGA)

Data for HfCoGeIr after structural relaxation.

Summary:
As for the space-group type: F-43m (216). The distance to the lowest polymorph of the same formula comes out at 332.3 meV/atom.

a b c (Å): 4.4596 4.4596 4.4596
angles (deg): 60.00 60.00 60.00
Atoms (fractional coordinates):
Hf 0.0000 0.0000 0.0000
Co 0.5000 0.5000 0.5000
Ge 0.2500 0.2500 0.2500
Ir 0.7500 0.7500 0.7500


## NaNdTl (PBE-GGA)

Data for NaNdTl after structural relaxation.

Summary:
As for the space-group type: F-43m (216). The distance to the lowest polymorph of the same formula comes out at 0.0 meV/atom.

a b c (Å): 5.2214 5.2214 5.2214
angles (deg): 60.00 60.00 60.00
Atoms (fractional coordinates):
Na 0.0000 0.0000 0.0000
Nd 0.5000 0.5000 0.5000
Tl 0.2500 0.2500 0.2500


## NdErCd2Au4 (PBE-GGA)

Data for NdErCd2Au4 after structural relaxation.

Summary:
As for the formation energy from the elements: -0.66 eV per atom. As for the space-group type: P4/mmm (123).

a b c (Å): 4.9708 4.9708 7.0218
angles (deg): 90.00 90.00 90.00
Atoms (fractional coordinates):
Nd 0.0000 0.0000 0.0000
Er 0.5000 0.5000 0.5000
Cd 0.0000 0.0000 0.5000
Cd 0.5000 0.5000 0.0000
Au 0.0000 0.5000 0.2631
Au 0.0000 0.5000 0.7369
Au 0.5000 0.0000 0.2631
Au 0.5000 0.0000 0.7369


## Na3Si5Pt10 (PBE-GGA)

Data for Na3Si5Pt10 after structural relaxation.

Summary:
The calculation puts the total DFT energy (no corrections) at -5.760 eV per atom. As for the space-group type: R32 (155).

a b c (Å): 6.8405 6.8405 6.8405
angles (deg): 97.24 97.24 97.24
Atoms (fractional coordinates):
Na 0.0000 0.6431 0.3569
Na 0.3569 0.0000 0.6431
Na 0.6431 0.3569 0.0000
Si 0.0000 0.2478 0.7522
Si 0.2478 0.7522 0.0000
Si 0.3785 0.3785 0.3785
Si 0.6215 0.6215 0.6215
Si 0.7522 0.0000 0.2478
Pt 0.0000 0.0000 0.0000
Pt 0.0693 0.1923 0.4079
Pt 0.1923 0.4079 0.0693
Pt 0.2992 0.5000 0.7008
Pt 0.4079 0.0693 0.1923
Pt 0.5000 0.7008 0.2992
Pt 0.5921 0.8077 0.9307
Pt 0.7008 0.2992 0.5000
Pt 0.8077 0.9307 0.5921
Pt 0.9307 0.5921 0.8077


## Tl2Pd3Se2 (PBE-GGA)

Data for Tl2Pd3Se2 after structural relaxation.

Summary:
The calculation puts the total DFT energy (no corrections) at -4.233 eV per atom. As for the space-group type: R-3m (166).

a b c (Å): 6.0293 6.0293 6.0293
angles (deg): 58.08 58.08 58.08
Atoms (fractional coordinates):
Tl 0.0000 0.0000 0.0000
Tl 0.5000 0.5000 0.5000
Pd 0.0000 0.5000 0.5000
Pd 0.5000 0.0000 0.5000
Pd 0.5000 0.5000 0.0000
Se 0.2125 0.2125 0.2125
Se 0.7875 0.7875 0.7875


## LiLaAsIr (PBE-GGA)

Data for LiLaAsIr after structural relaxation.

Summary:
As for the space-group type: F-43m (216). The distance to the lowest polymorph of the same formula comes out at 199.8 meV/atom.

a b c (Å): 4.8675 4.8675 4.8675
angles (deg): 60.00 60.00 60.00
Atoms (fractional coordinates):
Li 0.0000 0.0000 0.0000
La 0.5000 0.5000 0.5000
As 0.2500 0.2500 0.2500
Ir 0.7500 0.7500 0.7500


## TlRe2Ag (PBE-GGA)

Data for TlRe2Ag after structural relaxation.

Summary:
The calculation puts the total DFT energy (no corrections) at -6.509 eV per atom. As for the space-group type: F-43m (216).

a b c (Å): 4.5980 4.5980 4.5980
angles (deg): 60.00 60.00 60.00
Atoms (fractional coordinates):
Tl 0.0000 0.0000 0.0000
Re 0.5000 0.5000 0.5000
Re 0.7500 0.7500 0.7500
Ag 0.2500 0.2500 0.2500


## DyAuSeO (PBE-GGA)

Data for DyAuSeO after structural relaxation.

Summary:
As for the space-group type: P4mm (99). The distance to the lowest polymorph of the same formula comes out at 87.4 meV/atom.

a b c (Å): 3.9387 3.9387 9.4830
angles (deg): 90.00 90.00 90.00
Atoms (fractional coordinates):
Dy 0.0000 0.0000 0.0000
Dy 0.5000 0.5000 0.2345
Au 0.0000 0.5000 0.6181
Au 0.5000 0.0000 0.6181
Se 0.0000 0.0000 0.4002
Se 0.5000 0.5000 0.8353
O 0.0000 0.5000 0.1172
O 0.5000 0.0000 0.1172